*a*
Computed, not measured: a relaxed structure of Pu2TlIr at the GGA-PBE level of DFT.

a b c (Å): 3.9629 3.9629 24.5062
angles (deg): 90.00 90.00 120.00
Space group R3m (No. 160, hexagonal axes)
Symmetry-distinct sites (fractional):
Pu  0.0000  0.0000  0.0000
Pu  0.0000  0.0000  0.2044
Tl  0.0000  0.0000  0.4351
Ir  0.0000  0.0000  0.6035

=====

*b*
Computed, not measured: a relaxed structure of Pu2TlIr at the GGA-PBE level of DFT.

a b c (Å): 4.587 4.587 4.301
angles (deg): 90.00 90.00 90.00
Space group P4/mmm (No. 123)
Symmetry-distinct sites (fractional):
Pu  0.000  0.500  0.000
Tl  0.000  0.000  0.500
Ir  0.500  0.500  0.500

=====

*c*
Computed, not measured: a relaxed structure of Pu2TlIr at the GGA-PBE level of DFT.

a b c (Å): 3.345 3.345 8.506
angles (deg): 90.00 90.00 90.00
Space group P4/mmm (No. 123)
Symmetry-distinct sites (fractional):
Pu  0.000  0.000  0.206
Tl  0.500  0.500  0.500
Ir  0.500  0.500  0.000

=====

Short version: *c* is the most stable of them.

=====

*a*
Computed, not measured: a relaxed structure of TmPuIr at the GGA-PBE level of DFT.

a b c (Å): 3.436 3.436 12.051
angles (deg): 90.00 90.00 90.00
Space group I4mm (No. 107)
Symmetry-distinct sites (fractional):
Tm  0.000  0.000  0.000
Pu  0.000  0.000  0.729
Ir  0.000  0.000  0.369

=====

*b*
Computed, not measured: a relaxed structure of TmPuIr at the GGA-PBE level of DFT.

a b c (Å): 4.006 5.789 12.394
angles (deg): 90.00 90.00 90.00
Space group Immm (No. 71)
Symmetry-distinct sites (fractional):
Tm  0.000  0.000  0.217
Pu  0.000  0.248  0.500
Ir  0.000  0.500  0.128

=====

*c*
Computed, not measured: a relaxed structure of TmPuIr at the GGA-PBE level of DFT.

a b c (Å): 6.737 6.737 6.737
angles (deg): 90.00 90.00 90.00
Space group F-43m (No. 216)
Symmetry-distinct sites (fractional):
Tm  0.000  0.000  0.000
Pu  0.000  0.000  0.500
Ir  0.250  0.250  0.750

=====

*d*
Computed, not measured: a relaxed structure of TmPuIr at the GGA-PBE level of DFT.

a b c (Å): 4.7880 4.7880 3.2047
angles (deg): 90.00 90.00 120.00
Space group P3m1 (No. 156)
Symmetry-distinct sites (fractional):
Tm  0.0000  0.0000  0.0000
Pu  0.3333  0.6667  0.3887
Ir  0.6667  0.3333  0.6702

=====

Short version: *b* is the most stable of them.

=====

*a*
Computed, not measured: a relaxed structure of PuUIr at the GGA-PBE level of DFT.

a b c (Å): 4.7360 4.7360 2.8760
angles (deg): 90.00 90.00 120.00
Space group P3m1 (No. 156)
Symmetry-distinct sites (fractional):
Pu  0.0000  0.0000  0.0000
U  0.3333  0.6667  0.2058
Ir  0.6667  0.3333  0.5875

=====

*b*
Computed, not measured: a relaxed structure of PuUIr at the GGA-PBE level of DFT.

a b c (Å): 5.469 8.054 11.475
angles (deg): 90.00 90.00 90.00
Space group Fmmm (No. 69)
Symmetry-distinct sites (fractional):
Pu  0.000  0.164  0.000
U  0.250  0.250  0.250
Ir  0.000  0.000  0.383

=====

*c*
Computed, not measured: a relaxed structure of PuUIr at the GGA-PBE level of DFT.

a b c (Å): 3.518 3.518 9.754
angles (deg): 90.00 90.00 90.00
Space group I4mm (No. 107)
Symmetry-distinct sites (fractional):
Pu  0.000  0.000  0.000
U  0.000  0.000  0.675
Ir  0.000  0.000  0.323

=====

*d*
Computed, not measured: a relaxed structure of PuUIr at the GGA-PBE level of DFT.

a b c (Å): 9.937 4.368 5.896
angles (deg): 90.00 104.79 90.00
Space group C2/m (No. 12)
Symmetry-distinct sites (fractional):
Pu  0.017  0.000  0.262
U  0.246  0.500  0.126
Ir  0.164  0.500  0.569

=====

Short version: *c* is the most stable of them.

=====

*a*
Computed, not measured: a relaxed structure of PuVIr at the GGA-PBE level of DFT.

a b c (Å): 4.5115 4.5115 2.8279
angles (deg): 90.00 90.00 120.00
Space group P3m1 (No. 156)
Symmetry-distinct sites (fractional):
Pu  0.0000  0.0000  0.0000
V  0.6667  0.3333  0.2236
Ir  0.3333  0.6667  0.6461

=====

*b*
Computed, not measured: a relaxed structure of PuVIr at the GGA-PBE level of DFT.

a b c (Å): 2.957 2.957 11.929
angles (deg): 90.00 90.00 90.00
Space group I4mm (No. 107)
Symmetry-distinct sites (fractional):
Pu  0.000  0.000  0.000
V  0.000  0.000  0.316
Ir  0.000  0.000  0.695

=====

Short version: *b* is the most stable of them.

=====

*a*
Computed, not measured: a relaxed structure of Y2PuIr2 at the GGA-PBE level of DFT.

a b c (Å): 4.249 6.047 8.948
angles (deg): 90.00 90.00 90.00
Space group Immm (No. 71)
Symmetry-distinct sites (fractional):
Y  0.000  0.000  0.199
Pu  0.000  0.500  0.000
Ir  0.000  0.277  0.500

=====

*b*
Computed, not measured: a relaxed structure of Y2PuIr2 at the GGA-PBE level of DFT.

a b c (Å): 7.733 10.763 5.793
angles (deg): 90.00 90.00 90.00
Space group Ibam (No. 72)
Symmetry-distinct sites (fractional):
Y  0.142  0.176  0.000
Pu  0.000  0.500  0.250
Ir  0.210  0.085  0.500

=====

Short version: *a* is the most stable of them.

=====

*a*
Computed, not measured: a relaxed structure of PuZn4Ir at the GGA-PBE level of DFT.

a b c (Å): 7.297 7.297 7.297
angles (deg): 90.00 90.00 90.00
Space group F-43m (No. 216)
Symmetry-distinct sites (fractional):
Pu  0.000  0.000  0.000
Zn  0.124  0.124  0.376
Ir  0.250  0.250  0.750

=====

*b*
Computed, not measured: a relaxed structure of PuZn4Ir at the GGA-PBE level of DFT.

a b c (Å): 7.774 4.042 6.910
angles (deg): 90.00 90.00 90.00
Space group Pmma (No. 51)
Symmetry-distinct sites (fractional):
Pu  0.250  0.000  0.116
Zn  0.000  0.000  0.500
Zn  0.052  0.500  0.811
Zn  0.250  0.500  0.461
Ir  0.250  0.000  0.722

=====

Short version: *b* is the most stable of them.

=====

*a*
Computed, not measured: a relaxed structure of PuZrIr at the GGA-PBE level of DFT.

a b c (Å): 5.972 6.742 7.878
angles (deg): 90.00 122.14 90.00
Space group P2_1/c (No. 14)
Symmetry-distinct sites (fractional):
Pu  0.225  0.166  0.080
Zr  0.253  0.638  0.950
Ir  0.263  0.516  0.281

=====

*b*
Computed, not measured: a relaxed structure of PuZrIr at the GGA-PBE level of DFT.

a b c (Å): 3.468 3.468 10.175
angles (deg): 90.00 90.00 90.00
Space group I4mm (No. 107)
Symmetry-distinct sites (fractional):
Pu  0.000  0.000  0.000
Zr  0.000  0.000  0.693
Ir  0.000  0.000  0.350

=====

Short version: *b* is the most stable of them.

=====

*a*
Computed, not measured: a relaxed structure of RbReIr3 at the GGA-PBE level of DFT.

a b c (Å): 4.859 4.859 4.859
angles (deg): 90.00 90.00 90.00
Space group Pm-3m (No. 221)
Symmetry-distinct sites (fractional):
Rb  0.000  0.000  0.000
Re  0.500  0.500  0.500
Ir  0.000  0.500  0.500

=====

*b*
Computed, not measured: a relaxed structure of RbReIr3 at the GGA-PBE level of DFT.

a b c (Å): 4.679 4.679 4.679
angles (deg): 90.00 90.00 90.00
Space group Pm-3m (No. 221)
Symmetry-distinct sites (fractional):
Rb  0.000  0.000  0.000
Re  0.500  0.500  0.500
Ir  0.000  0.000  0.500

=====

Short version: *a* is the most stable of them.

=====

*a*
Computed, not measured: a relaxed structure of Rb2ReIr at the GGA-PBE level of DFT.

a b c (Å): 8.047 8.047 8.047
angles (deg): 90.00 90.00 90.00
Space group Fm-3m (No. 225)
Symmetry-distinct sites (fractional):
Rb  0.250  0.250  0.250
Re  0.000  0.000  0.000
Ir  0.000  0.000  0.500

=====

*b*
Computed, not measured: a relaxed structure of Rb2ReIr at the GGA-PBE level of DFT.

a b c (Å): 13.082 13.082 4.720
angles (deg): 90.00 90.00 90.00
Space group I-42d (No. 122)
Symmetry-distinct sites (fractional):
Rb  0.065  0.750  0.125
Re  0.000  0.000  0.000
Ir  0.000  0.000  0.500

=====

Short version: *b* is the most stable of them.

=====

*a*
Computed, not measured: a relaxed structure of RbIrRh2 at the GGA-PBE level of DFT.

a b c (Å): 6.643 6.643 6.643
angles (deg): 90.00 90.00 90.00
Space group Fm-3m (No. 225)
Symmetry-distinct sites (fractional):
Rb  0.000  0.000  0.000
Ir  0.000  0.000  0.500
Rh  0.250  0.250  0.250

=====

*b*
Computed, not measured: a relaxed structure of RbIrRh2 at the GGA-PBE level of DFT.

a b c (Å): 5.343 5.343 15.886
angles (deg): 90.00 90.00 90.00
Space group I-42d (No. 122)
Symmetry-distinct sites (fractional):
Rb  0.000  0.000  0.000
Ir  0.000  0.000  0.500
Rh  0.055  0.250  0.625

=====

Short version: *b* is the most stable of them.

=====

*a*
Computed, not measured: a relaxed structure of Rb2IrRh at the GGA-PBE level of DFT.

a b c (Å): 7.670 7.670 7.670
angles (deg): 90.00 90.00 90.00
Space group Fm-3m (No. 225)
Symmetry-distinct sites (fractional):
Rb  0.250  0.250  0.250
Ir  0.000  0.000  0.000
Rh  0.000  0.000  0.500

=====

*b*
Computed, not measured: a relaxed structure of Rb2IrRh at the GGA-PBE level of DFT.

a b c (Å): 12.788 12.788 4.709
angles (deg): 90.00 90.00 90.00
Space group I-42d (No. 122)
Symmetry-distinct sites (fractional):
Rb  0.029  0.250  0.125
Ir  0.000  0.000  0.500
Rh  0.000  0.000  0.000

=====

Short version: *b* is the most stable of them.